[1]
Computed, not measured: a PBEsol-optimized structure of La2Cu2Pd at the SCAN level of DFT.

Cell and atoms, written as POSCAR:
```
La2Cu2Pd
1.0
3.5015 0.0000 0.0000
0.0000 3.5015 0.0000
0.0000 0.0000 17.2466
La Cu Pd
4 4 2
Direct
0.0000 0.0000 0.1061 La
0.0000 0.0000 0.8939 La
0.5000 0.5000 0.3939 La
0.5000 0.5000 0.6061 La
0.0000 0.5000 0.2500 Cu
0.0000 0.5000 0.7500 Cu
0.5000 0.0000 0.2500 Cu
0.5000 0.0000 0.7500 Cu
0.0000 0.0000 0.5000 Pd
0.5000 0.5000 0.0000 Pd
```

SG: I4/mmm, No. 139
Total DFT energy (no corrections), eV/atom: -30.147
Energy relative to the elements, eV per atom: -0.270
Total moment, μB/atom: 0.00



[2]
Computed, not measured: a PBEsol-optimized structure of Ba2TiTcNi at the SCAN level of DFT.

Cell and atoms, written as POSCAR:
```
Ba2TiTcNi
1.0
5.7709 0.0000 0.0000
0.0000 5.7709 0.0000
0.0000 0.0000 4.4330
Ba Ti Tc Ni
2 1 1 1
Direct
0.0000 0.5000 0.0000 Ba
0.5000 0.0000 0.0000 Ba
0.0000 0.0000 0.5000 Ti
0.5000 0.5000 0.0000 Tc
0.5000 0.5000 0.5000 Ni
```

SG: P4/mmm, No. 123
Total DFT energy (no corrections), eV/atom: -28.181
Energy relative to the elements, eV per atom: 1.092
Total moment, μB/atom: 0.75